First-principles (PBE) data for a geometry-optimized PrAl4Pd structure, as listed in Alexandria.

Results
E = -4.204 eV per atom
Space-group type = P4/mbm, No. 127
Magnetic moment = 0.00 Bohr magnetons per cell

Geometry as extended XYZ:
```
12
Lattice="6.403 0.000 0.000 0.000 6.403 0.000 0.000 0.000 7.061" Properties=species:S:1:pos:R:3 pbc="T T T"
Pr 0.000 3.202 0.000
Pr 3.202 0.000 0.000
Al 0.000 0.000 1.193
Al 0.000 0.000 5.868
Al 0.959 2.242 3.531
Al 2.242 5.444 3.531
Al 3.202 3.202 1.193
Al 3.202 3.202 5.868
Al 4.161 0.959 3.531
Al 5.444 4.161 3.531
Pd 0.000 0.000 3.531
Pd 3.202 3.202 3.531
```